No. 1
{"formula": "SrAgN", "functional": "PBE", "state": "optimized geometry", "cell": [[6.861, 0.000, 0.000], [0.000, 3.528, 0.000], [0.000, 0.000, 9.951]], "species": ["Sr", "N", "Ag", "Ag", "Ag", "Sr", "N", "N", "Ag", "N", "Sr", "Sr"], "frac_coords": [[0.435, 0.250, 0.655], [0.182, 0.750, 0.897], [0.863, 0.250, 0.539], [0.637, 0.750, 0.039], [0.363, 0.250, 0.961], [0.935, 0.250, 0.845], [0.318, 0.250, 0.397], [0.818, 0.250, 0.103], [0.137, 0.750, 0.461], [0.682, 0.750, 0.603], [0.065, 0.750, 0.155], [0.565, 0.750, 0.345]], "sg": "Pnma (62)"}

No. 2
{"formula": "Ac2Tl3SbTe6", "functional": "PBE", "state": "optimized geometry", "cell": [[8.177, 0.000, -0.002], [-4.086, 7.083, -0.002], [-1.367, -2.367, 8.077]], "species": ["Ac", "Ac", "Tl", "Te", "Tl", "Sb", "Te", "Te", "Te", "Te", "Tl", "Te"], "frac_coords": [[0.666, 0.334, 0.000], [0.334, 0.666, 0.000], [0.827, 0.173, 0.500], [0.238, 0.238, 0.772], [0.173, 0.827, 0.500], [0.000, 0.000, 0.000], [0.073, 0.389, 0.221], [0.927, 0.611, 0.779], [0.762, 0.762, 0.228], [0.611, 0.927, 0.779], [0.500, 0.500, 0.500], [0.389, 0.073, 0.221]], "sg": "C2/m (12)"}

| no. | E_form (uncorrected) (eV per atom) | spin magnetization (μB/f.u.) |
| --- | --- | --- |
| 1 | 0.04 | 0.0 |
| 2 | -0.82 | 0.0 |